# As5Cl3, optimized geometry, DFT PBE-GGA
data_As5Cl3
_chemical_formula_sum 'As10 Cl6'
_cell_length_a 9.250
_cell_length_b 9.250
_cell_length_c 5.193
_cell_angle_alpha 90.00
_cell_angle_beta 90.00
_cell_angle_gamma 120.00
_symmetry_space_group_name_H-M 'P 1'
_symmetry_Int_Tables_number 1
loop_
_symmetry_equiv_pos_as_xyz
'x,y,z'
loop_
_atom_site_label
_atom_site_type_symbol
_atom_site_fract_x
_atom_site_fract_y
_atom_site_fract_z
As1 As 0.333 0.667 0.000
As2 As 0.667 0.333 0.500
As3 As 0.667 0.333 0.000
As4 As 0.333 0.667 0.500
As5 As 0.157 0.000 0.250
As6 As 0.843 0.000 0.750
As7 As 0.000 0.157 0.250
As8 As 0.843 0.843 0.250
As9 As 0.157 0.157 0.750
As10 As 0.000 0.843 0.750
Cl1 Cl 0.591 0.000 0.250
Cl2 Cl 0.409 0.000 0.750
Cl3 Cl 0.000 0.591 0.250
Cl4 Cl 0.409 0.409 0.250
Cl5 Cl 0.591 0.591 0.750
Cl6 Cl 0.000 0.409 0.750
# offset from the most stable computed form = 0.16 kcal/mol of atoms
# uncorrected formation energy = 0.264 eV/atom


# CoTcRu, optimized geometry, DFT PBE-GGA
data_CoTcRu
_chemical_formula_sum 'Co1 Tc1 Ru1'
_cell_length_a 2.676
_cell_length_b 2.676
_cell_length_c 6.410
_cell_angle_alpha 90.00
_cell_angle_beta 90.00
_cell_angle_gamma 120.00
_symmetry_space_group_name_H-M 'P 1'
_symmetry_Int_Tables_number 1
loop_
_symmetry_equiv_pos_as_xyz
'x,y,z'
loop_
_atom_site_label
_atom_site_type_symbol
_atom_site_fract_x
_atom_site_fract_y
_atom_site_fract_z
Co1 Co 0.000 0.000 0.999
Ru1 Ru 0.333 0.667 0.330
Tc1 Tc 0.667 0.333 0.671
# offset from the most stable computed form = 1.54 kcal/mol of atoms
# formation energy = 0.14 eV/atom


# Na2TlGeH, optimized geometry, DFT PBE-GGA
data_Na2TlGeH
_chemical_formula_sum 'Na2 Tl1 Ge1 H1'
_cell_length_a 4.854
_cell_length_b 4.854
_cell_length_c 4.251
_cell_angle_alpha 90.00
_cell_angle_beta 90.00
_cell_angle_gamma 90.00
_symmetry_space_group_name_H-M 'P 1'
_symmetry_Int_Tables_number 1
loop_
_symmetry_equiv_pos_as_xyz
'x,y,z'
loop_
_atom_site_label
_atom_site_type_symbol
_atom_site_fract_x
_atom_site_fract_y
_atom_site_fract_z
Na1 Na 0.000 0.500 0.000
Na2 Na 0.500 0.000 0.000
Tl1 Tl 0.500 0.500 0.500
Ge1 Ge 0.000 0.000 0.500
H1 H 0.000 0.000 0.000
# offset from the most stable computed form = 0.47 kcal/mol of atoms


# Pm3SmDy6Th2, optimized geometry, DFT PBE-GGA
data_Pm3SmDy6Th2
_chemical_formula_sum 'Pm3 Sm1 Dy6 Th2'
_cell_length_a 6.221
_cell_length_b 6.221
_cell_length_c 11.789
_cell_angle_alpha 95.06
_cell_angle_beta 95.06
_cell_angle_gamma 119.98
_symmetry_space_group_name_H-M 'P 1'
_symmetry_Int_Tables_number 1
loop_
_symmetry_equiv_pos_as_xyz
'x,y,z'
loop_
_atom_site_label
_atom_site_type_symbol
_atom_site_fract_x
_atom_site_fract_y
_atom_site_fract_z
Pm1 Pm 0.166 0.834 0.500
Pm2 Pm 0.834 0.166 0.500
Pm3 Pm 0.500 0.500 0.500
Sm1 Sm 0.000 0.000 0.000
Dy1 Dy 0.918 0.580 0.754
Dy2 Dy 0.744 0.744 0.246
Dy3 Dy 0.082 0.420 0.246
Dy4 Dy 0.580 0.918 0.754
Dy5 Dy 0.256 0.256 0.754
Dy6 Dy 0.420 0.082 0.246
Th1 Th 0.333 0.667 0.000
Th2 Th 0.667 0.333 0.000
# formation energy = 0.02 eV/atom


# RbLaPb2Cl8, optimized geometry, DFT PBE-GGA
data_RbLaPb2Cl8
_chemical_formula_sum 'Rb1 La1 Pb2 Cl8'
_cell_length_a 6.968
_cell_length_b 6.719
_cell_length_c 9.136
_cell_angle_alpha 90.00
_cell_angle_beta 90.00
_cell_angle_gamma 89.17
_symmetry_space_group_name_H-M 'P 1'
_symmetry_Int_Tables_number 1
loop_
_symmetry_equiv_pos_as_xyz
'x,y,z'
loop_
_atom_site_label
_atom_site_type_symbol
_atom_site_fract_x
_atom_site_fract_y
_atom_site_fract_z
Rb1 Rb 0.000 0.000 0.500
La1 La 0.000 0.000 0.000
Pb1 Pb 0.500 0.500 0.746
Pb2 Pb 0.500 0.500 0.254
Cl1 Cl 0.166 0.763 0.218
Cl2 Cl 0.680 0.743 0.000
Cl3 Cl 0.834 0.237 0.218
Cl4 Cl 0.834 0.237 0.782
Cl5 Cl 0.320 0.257 0.000
Cl6 Cl 0.166 0.763 0.782
Cl7 Cl 0.630 0.719 0.500
Cl8 Cl 0.370 0.281 0.500
# uncorrected formation energy = -1.692 eV/atom


# Rb2CeCl5, optimized geometry, DFT PBE-GGA
data_Rb2CeCl5
_chemical_formula_sum 'Rb8 Ce4 Cl20'
_cell_length_a 8.383
_cell_length_b 9.040
_cell_length_c 13.458
_cell_angle_alpha 90.00
_cell_angle_beta 90.00
_cell_angle_gamma 90.00
_symmetry_space_group_name_H-M 'P 1'
_symmetry_Int_Tables_number 1
loop_
_symmetry_equiv_pos_as_xyz
'x,y,z'
loop_
_atom_site_label
_atom_site_type_symbol
_atom_site_fract_x
_atom_site_fract_y
_atom_site_fract_z
Rb1 Rb 0.552 0.495 0.829
Rb2 Rb 0.448 0.505 0.171
Rb3 Rb 0.052 0.505 0.671
Rb4 Rb 0.448 0.995 0.171
Rb5 Rb 0.948 0.495 0.329
Rb6 Rb 0.552 0.005 0.829
Rb7 Rb 0.948 0.005 0.329
Rb8 Rb 0.052 0.995 0.671
Ce1 Ce 0.569 0.750 0.504
Ce2 Ce 0.431 0.250 0.496
Ce3 Ce 0.069 0.250 0.996
Ce4 Ce 0.931 0.750 0.004
Cl1 Cl 0.843 0.750 0.803
Cl2 Cl 0.157 0.250 0.197
Cl3 Cl 0.343 0.250 0.697
Cl4 Cl 0.657 0.750 0.303
Cl5 Cl 0.381 0.750 0.675
Cl6 Cl 0.619 0.250 0.325
Cl7 Cl 0.881 0.250 0.825
Cl8 Cl 0.119 0.750 0.175
Cl9 Cl 0.906 0.750 0.511
Cl10 Cl 0.094 0.250 0.489
Cl11 Cl 0.406 0.250 0.989
Cl12 Cl 0.594 0.750 0.011
Cl13 Cl 0.660 0.041 0.573
Cl14 Cl 0.340 0.959 0.427
Cl15 Cl 0.160 0.959 0.927
Cl16 Cl 0.340 0.541 0.427
Cl17 Cl 0.840 0.041 0.073
Cl18 Cl 0.660 0.459 0.573
Cl19 Cl 0.840 0.459 0.073
Cl20 Cl 0.160 0.541 0.927
# uncorrected formation energy = -2.139 eV/atom


# InTePt2, optimized geometry, DFT PBE-GGA
data_InTePt2
_chemical_formula_sum 'In1 Te1 Pt2'
_cell_length_a 5.514
_cell_length_b 5.514
_cell_length_c 5.514
_cell_angle_alpha 136.75
_cell_angle_beta 136.75
_cell_angle_gamma 62.83
_symmetry_space_group_name_H-M 'P 1'
_symmetry_Int_Tables_number 1
loop_
_symmetry_equiv_pos_as_xyz
'x,y,z'
loop_
_atom_site_label
_atom_site_type_symbol
_atom_site_fract_x
_atom_site_fract_y
_atom_site_fract_z
In1 In 0.750 0.250 0.500
Pt1 Pt 0.000 0.000 0.000
Pt2 Pt 0.250 0.750 0.500
Te1 Te 0.500 0.500 0.000
# offset from the most stable computed form = 5.38 kcal/mol of atoms
# uncorrected formation energy = -0.054 eV/atom


# Tc2TeMo, optimized geometry, DFT PBE-GGA
data_Tc2TeMo
_chemical_formula_sum 'Tc4 Te2 Mo2'
_cell_length_a 5.829
_cell_length_b 5.829
_cell_length_c 7.027
_cell_angle_alpha 65.49
_cell_angle_beta 65.49
_cell_angle_gamma 90.00
_symmetry_space_group_name_H-M 'P 1'
_symmetry_Int_Tables_number 1
loop_
_symmetry_equiv_pos_as_xyz
'x,y,z'
loop_
_atom_site_label
_atom_site_type_symbol
_atom_site_fract_x
_atom_site_fract_y
_atom_site_fract_z
Mo1 Mo 0.500 0.500 0.000
Mo2 Mo 0.250 0.750 0.500
Te1 Te 0.000 0.000 0.000
Te2 Te 0.750 0.250 0.500
Tc1 Tc 0.599 0.125 0.250
Tc2 Tc 0.151 0.625 0.250
Tc3 Tc 0.375 0.401 0.750
Tc4 Tc 0.875 0.849 0.750
# uncorrected formation energy = 1.033 eV/atom


# CsScW2S8, optimized geometry, DFT PBE-GGA
data_CsScW2S8
_chemical_formula_sum 'Cs1 Sc1 W2 S8'
_cell_length_a 6.455
_cell_length_b 6.455
_cell_length_c 10.310
_cell_angle_alpha 71.76
_cell_angle_beta 71.76
_cell_angle_gamma 60.00
_symmetry_space_group_name_H-M 'P 1'
_symmetry_Int_Tables_number 1
loop_
_symmetry_equiv_pos_as_xyz
'x,y,z'
loop_
_atom_site_label
_atom_site_type_symbol
_atom_site_fract_x
_atom_site_fract_y
_atom_site_fract_z
Cs1 Cs 0.500 0.500 0.500
Sc1 Sc 0.000 0.000 0.000
W1 W 0.257 0.257 0.229
W2 W 0.743 0.743 0.771
S1 S 0.182 0.182 0.455
S2 S 0.615 0.266 0.160
S3 S 0.818 0.818 0.545
S4 S 0.958 0.615 0.160
S5 S 0.042 0.385 0.840
S6 S 0.266 0.958 0.160
S7 S 0.734 0.042 0.840
S8 S 0.385 0.734 0.840
# uncorrected formation energy = -0.836 eV/atom


# GaAgP2Se6, optimized geometry, DFT PBE-GGA
data_GaAgP2Se6
_chemical_formula_sum 'Ga8 Ag8 P16 Se48'
_cell_length_a 8.230
_cell_length_b 12.257
_cell_length_c 23.281
_cell_angle_alpha 90.00
_cell_angle_beta 90.00
_cell_angle_gamma 90.00
_symmetry_space_group_name_H-M 'P 1'
_symmetry_Int_Tables_number 1
loop_
_symmetry_equiv_pos_as_xyz
'x,y,z'
loop_
_atom_site_label
_atom_site_type_symbol
_atom_site_fract_x
_atom_site_fract_y
_atom_site_fract_z
Ga1 Ga 0.736 0.864 0.347
Ga2 Ga 0.764 0.136 0.847
Ga3 Ga 0.264 0.136 0.653
Ga4 Ga 0.236 0.864 0.153
Ga5 Ga 0.236 0.636 0.653
Ga6 Ga 0.264 0.364 0.153
Ga7 Ga 0.736 0.636 0.847
Ga8 Ga 0.764 0.364 0.347
Ag1 Ag 0.872 0.909 0.516
Ag2 Ag 0.628 0.409 0.516
Ag3 Ag 0.872 0.591 0.016
Ag4 Ag 0.372 0.591 0.484
Ag5 Ag 0.128 0.409 0.984
Ag6 Ag 0.628 0.091 0.016
Ag7 Ag 0.372 0.909 0.984
Ag8 Ag 0.128 0.091 0.484
P1 P 0.553 0.900 0.846
P2 P 0.747 0.869 0.915
P3 P 0.747 0.631 0.415
P4 P 0.253 0.369 0.585
P5 P 0.053 0.900 0.654
P6 P 0.447 0.400 0.654
P7 P 0.947 0.400 0.846
P8 P 0.753 0.369 0.915
P9 P 0.053 0.600 0.154
P10 P 0.247 0.631 0.085
P11 P 0.247 0.869 0.585
P12 P 0.947 0.100 0.346
P13 P 0.553 0.600 0.346
P14 P 0.753 0.131 0.415
P15 P 0.447 0.100 0.154
P16 P 0.253 0.131 0.085
Se1 Se 0.346 0.038 0.563
Se2 Se 0.560 0.272 0.872
Se3 Se 0.655 0.487 0.621
Se4 Se 0.812 0.005 0.278
Se5 Se 0.654 0.538 0.937
Se6 Se 0.640 0.706 0.491
Se7 Se 0.154 0.538 0.563
Se8 Se 0.004 0.267 0.311
Se9 Se 0.154 0.962 0.063
Se10 Se 0.812 0.495 0.778
Se11 Se 0.345 0.987 0.879
Se12 Se 0.640 0.794 0.991
Se13 Se 0.188 0.995 0.722
Se14 Se 0.846 0.462 0.437
Se15 Se 0.504 0.233 0.689
Se16 Se 0.004 0.233 0.811
Se17 Se 0.312 0.495 0.722
Se18 Se 0.360 0.294 0.509
Se19 Se 0.440 0.728 0.128
Se20 Se 0.846 0.038 0.937
Se21 Se 0.860 0.294 0.991
Se22 Se 0.940 0.728 0.372
Se23 Se 0.346 0.462 0.063
Se24 Se 0.060 0.272 0.628
Se25 Se 0.504 0.267 0.189
Se26 Se 0.688 0.505 0.278
Se27 Se 0.654 0.962 0.437
Se28 Se 0.560 0.228 0.372
Se29 Se 0.312 0.005 0.222
Se30 Se 0.140 0.794 0.509
Se31 Se 0.155 0.013 0.379
Se32 Se 0.996 0.733 0.689
Se33 Se 0.360 0.206 0.009
Se34 Se 0.845 0.987 0.621
Se35 Se 0.860 0.206 0.491
Se36 Se 0.655 0.013 0.121
Se37 Se 0.940 0.772 0.872
Se38 Se 0.496 0.733 0.811
Se39 Se 0.188 0.505 0.222
Se40 Se 0.996 0.767 0.189
Se41 Se 0.060 0.228 0.128
Se42 Se 0.345 0.513 0.379
Se43 Se 0.140 0.706 0.009
Se44 Se 0.440 0.772 0.628
Se45 Se 0.688 0.995 0.778
Se46 Se 0.155 0.487 0.879
Se47 Se 0.496 0.767 0.311
Se48 Se 0.845 0.513 0.121
# offset from the most stable computed form = 0.00 kcal/mol of atoms
# uncorrected formation energy = -0.231 eV/atom


Record-wise DFT total energy values, in eV/atom: -3.3343; -8.7714; -2.5388; -5.0960; -4.0328; -4.2772; -4.5448; -7.6429; -6.3454; -3.9910